# 1
A plane-wave DFT calculation with PBE was carried out for a relaxed K3Pm2TiS6 crystal.

Properties
Its crystal system is monoclinic. The spin magnetization is 1.01 μB/f.u. The formation energy (no corrections) comes out at -19.61 eV/f.u.

a = 6.9523 Å, b = 6.9523 Å, c = 7.7210 Å
α = 98.63°, β = 98.63°, γ = 120.01°
With the nearest neighbours (Å) after each atom.
Positions (direct):
S1 0.9327 0.6250 0.8000  1 Ti 2.60, 2 Pm 2.82
S2 0.6250 0.9327 0.8000  1 Ti 2.60, 2 Pm 2.82
S3 0.7608 0.7608 0.1976  1 Ti 2.57, 2 Pm 2.83
S4 0.0673 0.3750 0.2000  1 Ti 2.60, 2 Pm 2.82
S5 0.2392 0.2392 0.8024  1 Ti 2.57, 2 Pm 2.83
S6 0.3750 0.0673 0.2000  1 Ti 2.60, 2 Pm 2.82
Pm1 0.3327 0.6673 0.0000  6 S 2.82-2.83
Pm2 0.6673 0.3327 0.0000  6 S 2.82-2.83
K1 0.5000 0.5000 0.5000  6 S 3.14-3.36
K2 0.8309 0.1691 0.5000  6 S 3.15-3.31
K3 0.1691 0.8309 0.5000  6 S 3.15-3.31
Ti1 0.0000 0.0000 0.0000  6 S 2.57-2.60



# 2
A plane-wave DFT calculation with PBE was carried out for a relaxed K2Pm2TiS6 crystal.

Properties
Its crystal system is monoclinic. The spin magnetization is 0.00 μB/f.u. The formation energy (no corrections) comes out at -18.18 eV/f.u.

a = 6.8122 Å, b = 6.8122 Å, c = 7.8669 Å
α = 98.66°, β = 98.66°, γ = 119.14°
With the nearest neighbours (Å) after each atom.
Positions (direct):
S1 0.6334 0.9342 0.3064  1 Ti 2.51, 1 Pm 2.80
S2 0.2288 0.2288 0.3092  1 Ti 2.48
S3 0.0658 0.3666 0.6936  1 Ti 2.51, 1 Pm 2.80
S4 0.9342 0.6334 0.3064  1 Ti 2.51, 1 Pm 2.80
S5 0.7712 0.7712 0.6908  1 Ti 2.48
S6 0.3666 0.0658 0.6936  1 Ti 2.51, 1 Pm 2.80
K1 0.8291 0.1709 0.0000  6 S 3.19-3.35
K2 0.1709 0.8291 0.0000  6 S 3.19-3.35
Pm1 0.3334 0.6666 0.5000  6 S 2.80-2.82
Pm2 0.6666 0.3334 0.5000  6 S 2.80-2.82
Ti1 0.0000 0.0000 0.5000  6 S 2.48-2.51



The lowest formation energy (no corrections) belongs to which entry? K3Pm2TiS6



Which value of formation energy (no corrections) does entry 1 give? -19.61 eV/f.u.



Which value of spin magnetization does entry 2 give? 0.00 μB/f.u.



formation energy (no corrections) of number 1 (K3Pm2TiS6)? -19.61 eV/f.u.